Arrangement w

This record from Alexandria describes a geometry-optimized Nd4Sm6Er structure. The functional is PBE-GGA.

```
Nd4Sm6Er
1.0
-3.3637 3.3637 8.5687
3.3637 -3.3637 8.5687
3.3637 3.3637 -8.5687
Nd Sm Er
4 6 1
direct
0.0130 0.6343 0.0000
0.3657 0.3657 0.3787
0.6343 0.0130 0.0000
0.9870 0.9870 0.6213
0.0000 0.5000 0.5000
0.1990 0.1990 0.6472
0.4481 0.8010 0.0000
0.5000 0.0000 0.5000
0.5519 0.5519 0.3528
0.8010 0.4481 0.0000
0.0000 0.0000 0.0000
```

SG = I-42m
Mass density = 7050 kg/m³

---

Arrangement x

This record from Alexandria describes a geometry-optimized Nd4Sm6Er structure. The functional is PBE-GGA.

```
Nd4Sm6Er
1.0
-3.8214 3.8214 6.7772
3.8214 -3.8214 6.7772
3.8214 3.8214 -6.7772
Nd Sm Er
4 6 1
direct
0.2470 0.2470 0.6524
0.4054 0.7530 0.0000
0.5946 0.5946 0.3476
0.7530 0.4054 0.0000
0.0000 0.5000 0.5000
0.0404 0.5862 0.0000
0.4138 0.4138 0.4542
0.5000 0.0000 0.5000
0.5862 0.0404 0.0000
0.9596 0.9596 0.5458
0.0000 0.0000 0.0000
```

SG = I-42m
Mass density = 6906 kg/m³

---

The least stable of them is arrangement x.